DFT (GGA-PBE) results for a relaxed ZnSbIr2 crystal.

Summary:
energy relative to the elements, uncorrected = 0.13 eV/atom
energy above the lowest structure with this stoichiometry = 0.167 eV/atom
uncorrected energy = -22.62 eV for the cell shown

Lattice parameters (Å, degrees): 5.1280 5.1280 5.1280 135.91 135.91 64.11
Atoms (fractional coordinates):
Ir 0.0000 0.0000 0.0000
Ir 0.2500 0.7500 0.5000
Sb 0.5000 0.5000 0.0000
Zn 0.7500 0.2500 0.5000